# Zn5Fe2Pd12, optimized geometry, DFT GGA-PBE
data_Zn5Fe2Pd12
_chemical_formula_sum 'Zn5 Fe2 Pd12'
_space_group_name_H-M_alt 'P 1'
_space_group_IT_number 1
_cell_length_a 5.7866
_cell_length_b 7.6640
_cell_length_c 7.3237
_cell_angle_alpha 79.41
_cell_angle_beta 90.00
_cell_angle_gamma 112.18
loop_
_space_group_symop_operation_xyz
'x,y,z'
loop_
_atom_site_label
_atom_site_type_symbol
_atom_site_fract_x
_atom_site_fract_y
_atom_site_fract_z
Zn1 Zn 0.2332 0.4664 0.7602
Zn2 Zn 0.3057 0.6114 0.2327
Zn3 Zn 0.0000 0.0000 0.5000
Zn4 Zn 0.6943 0.3886 0.7673
Zn5 Zn 0.7668 0.5336 0.2398
Fe1 Fe 0.6897 0.0000 0.0000
Fe2 Fe 0.3103 0.0000 0.0000
Pd1 Pd 0.9432 0.8864 0.2083
Pd2 Pd 0.0801 0.6888 0.9109
Pd3 Pd 0.6087 0.6888 0.9109
Pd4 Pd 0.0975 0.6917 0.5188
Pd5 Pd 0.5942 0.6917 0.5188
Pd6 Pd 0.4932 0.9864 0.6862
Pd7 Pd 0.5068 0.0136 0.3138
Pd8 Pd 0.9025 0.3083 0.4812
Pd9 Pd 0.4058 0.3083 0.4812
Pd10 Pd 0.9199 0.3112 0.0891
Pd11 Pd 0.3913 0.3112 0.0891
Pd12 Pd 0.0568 0.1136 0.7917
# total magnetic moment = 0.397 μB/atom
# formation energy from the elements = -148 meV/atom

***

# Ca2Si3Pt2, optimized geometry, DFT GGA-PBE
data_Ca2Si3Pt2
_chemical_formula_sum 'Ca2 Si3 Pt2'
_space_group_name_H-M_alt 'P 1'
_space_group_IT_number 1
_cell_length_a 4.1631
_cell_length_b 5.6617
_cell_length_c 6.7385
_cell_angle_alpha 116.05
_cell_angle_beta 90.00
_cell_angle_gamma 111.57
loop_
_space_group_symop_operation_xyz
'x,y,z'
loop_
_atom_site_label
_atom_site_type_symbol
_atom_site_fract_x
_atom_site_fract_y
_atom_site_fract_z
Ca1 Ca 0.8500 0.7000 0.2256
Ca2 Ca 0.1500 0.3000 0.7744
Si1 Si 0.5000 0.0000 0.0000
Si2 Si 0.6227 0.2455 0.4391
Si3 Si 0.3773 0.7545 0.5609
Pt1 Pt 0.8679 0.7359 0.7680
Pt2 Pt 0.1321 0.2641 0.2320
# total magnetic moment = 0.000 μB/atom
# offset from the most stable computed form = 0.070 eV per atom

***

# Pm2CdGe, optimized geometry, DFT GGA-PBE
data_Pm2CdGe
_chemical_formula_sum 'Pm2 Cd1 Ge1'
_space_group_name_H-M_alt 'P 1'
_space_group_IT_number 1
_cell_length_a 3.9877
_cell_length_b 5.0973
_cell_length_c 5.0973
_cell_angle_alpha 90.00
_cell_angle_beta 90.00
_cell_angle_gamma 90.00
loop_
_space_group_symop_operation_xyz
'x,y,z'
loop_
_atom_site_label
_atom_site_type_symbol
_atom_site_fract_x
_atom_site_fract_y
_atom_site_fract_z
Ge1 Ge 0.5000 0.0000 0.0000
Cd1 Cd 0.5000 0.5000 0.5000
Pm1 Pm 0.0000 0.0000 0.5000
Pm2 Pm 0.0000 0.5000 0.0000
# total magnetic moment = 0.000 μB/atom
# formation energy from the elements = -504 meV/atom
# offset from the most stable computed form = 0.019 eV per atom

***

# NbAlCrCo, optimized geometry, DFT GGA-PBE
data_NbAlCrCo
_chemical_formula_sum 'Nb1 Al1 Cr1 Co1'
_space_group_name_H-M_alt 'P 1'
_space_group_IT_number 1
_cell_length_a 4.2610
_cell_length_b 4.2610
_cell_length_c 4.2610
_cell_angle_alpha 60.00
_cell_angle_beta 60.00
_cell_angle_gamma 60.00
loop_
_space_group_symop_operation_xyz
'x,y,z'
loop_
_atom_site_label
_atom_site_type_symbol
_atom_site_fract_x
_atom_site_fract_y
_atom_site_fract_z
Cr1 Cr 0.0000 0.0000 0.0000
Nb1 Nb 0.2500 0.2500 0.2500
Co1 Co 0.5000 0.5000 0.5000
Al1 Al 0.7500 0.7500 0.7500
# total magnetic moment = 0.251 μB/atom
# formation energy from the elements = -142 meV/atom

***

# KSr2InCl8, optimized geometry, DFT GGA-PBE
data_KSr2InCl8
_chemical_formula_sum 'K1 Sr2 In1 Cl8'
_space_group_name_H-M_alt 'P 1'
_space_group_IT_number 1
_cell_length_a 6.6450
_cell_length_b 6.4383
_cell_length_c 8.9673
_cell_angle_alpha 89.99
_cell_angle_beta 90.00
_cell_angle_gamma 89.97
loop_
_space_group_symop_operation_xyz
'x,y,z'
loop_
_atom_site_label
_atom_site_type_symbol
_atom_site_fract_x
_atom_site_fract_y
_atom_site_fract_z
K1 K 0.0000 0.0000 0.5000
Sr1 Sr 0.5000 0.4999 0.7566
Sr2 Sr 0.5000 0.5001 0.2434
In1 In 0.0000 0.0000 0.0000
Cl1 Cl 0.1511 0.7775 0.2051
Cl2 Cl 0.6799 0.7539 0.9999
Cl3 Cl 0.8487 0.2223 0.2051
Cl4 Cl 0.8489 0.2225 0.7949
Cl5 Cl 0.3201 0.2461 0.0001
Cl6 Cl 0.1513 0.7777 0.7949
Cl7 Cl 0.6246 0.7343 0.5000
Cl8 Cl 0.3754 0.2657 0.5000
# total magnetic moment = 0.013 μB/atom
# uncorrected energy = -3.736 eV/atom

***

# KAg2SnF8, optimized geometry, DFT GGA-PBE
data_KAg2SnF8
_chemical_formula_sum 'K1 Ag2 Sn1 F8'
_space_group_name_H-M_alt 'P 1'
_space_group_IT_number 1
_cell_length_a 4.9534
_cell_length_b 5.4637
_cell_length_c 7.5012
_cell_angle_alpha 89.88
_cell_angle_beta 89.95
_cell_angle_gamma 94.98
loop_
_space_group_symop_operation_xyz
'x,y,z'
loop_
_atom_site_label
_atom_site_type_symbol
_atom_site_fract_x
_atom_site_fract_y
_atom_site_fract_z
K1 K 0.0000 0.0000 0.5000
Ag1 Ag 0.4987 0.4997 0.7430
Ag2 Ag 0.5013 0.5003 0.2570
Sn1 Sn 0.0000 0.0000 0.0000
F1 F 0.1478 0.7975 0.1924
F2 F 0.6653 0.7503 0.0002
F3 F 0.8513 0.2019 0.1919
F4 F 0.8522 0.2025 0.8076
F5 F 0.3347 0.2497 0.9998
F6 F 0.1487 0.7981 0.8081
F7 F 0.5474 0.7312 0.5001
F8 F 0.4526 0.2688 0.4999
# total magnetic moment = 0.086 μB/atom
# uncorrected energy = -4.124 eV/atom

***

# Li2LaTlHg2, optimized geometry, DFT GGA-PBE
data_Li2LaTlHg2
_chemical_formula_sum 'Li2 La1 Tl1 Hg2'
_space_group_name_H-M_alt 'P 1'
_space_group_IT_number 1
_cell_length_a 4.9050
_cell_length_b 4.9050
_cell_length_c 6.8430
_cell_angle_alpha 90.00
_cell_angle_beta 90.00
_cell_angle_gamma 120.00
loop_
_space_group_symop_operation_xyz
'x,y,z'
loop_
_atom_site_label
_atom_site_type_symbol
_atom_site_fract_x
_atom_site_fract_y
_atom_site_fract_z
Li1 Li 0.3333 0.6667 0.6515
Li2 Li 0.6667 0.3333 0.3485
La1 La 0.0000 0.0000 0.0000
Tl1 Tl 0.0000 0.0000 0.5000
Hg1 Hg 0.3333 0.6667 0.2313
Hg2 Hg 0.6667 0.3333 0.7687
# total magnetic moment = 0.000 μB/atom
# formation energy from the elements = -396 meV/atom

***

# CsHoBe2Cl8, optimized geometry, DFT GGA-PBE
data_CsHoBe2Cl8
_chemical_formula_sum 'Cs1 Ho1 Be2 Cl8'
_space_group_name_H-M_alt 'P 1'
_space_group_IT_number 1
_cell_length_a 6.2594
_cell_length_b 6.2594
_cell_length_c 10.8479
_cell_angle_alpha 73.23
_cell_angle_beta 73.23
_cell_angle_gamma 60.00
loop_
_space_group_symop_operation_xyz
'x,y,z'
loop_
_atom_site_label
_atom_site_type_symbol
_atom_site_fract_x
_atom_site_fract_y
_atom_site_fract_z
Cs1 Cs 0.5000 0.5000 0.5000
Ho1 Ho 0.0000 0.0000 0.0000
Be1 Be 0.2589 0.2589 0.2233
Be2 Be 0.7411 0.7411 0.7767
Cl1 Cl 0.1952 0.1952 0.4145
Cl2 Cl 0.5955 0.2767 0.1535
Cl3 Cl 0.8048 0.8048 0.5855
Cl4 Cl 0.9743 0.5955 0.1535
Cl5 Cl 0.0257 0.4045 0.8465
Cl6 Cl 0.2767 0.9743 0.1535
Cl7 Cl 0.7233 0.0257 0.8465
Cl8 Cl 0.4045 0.7233 0.8465
# total magnetic moment = 0.000 μB/atom
# uncorrected energy = -4.116 eV/atom